Entry 1:
A geometry-optimized Er4Mg3Cd structure, computed with GGA-PBE.

Structure (CIF):
```
data_Er4Mg3Cd
_cell_length_a 3.374
_cell_length_b 5.054
_cell_length_c 12.522
_cell_angle_alpha 90.00
_cell_angle_beta 90.00
_cell_angle_gamma 90.00
_symmetry_space_group_name_H-M 'P m m 2'
_symmetry_Int_Tables_number 25
_symmetry_space_group_name_Hall 'P 2 -2'
loop_
_atom_site_label
_atom_site_fract_x
_atom_site_fract_y
_atom_site_fract_z
_atom_site_occupancy
Er1 0.000 0.000 0.000 1
Er2 0.000 0.500 0.340 1
Er3 0.500 0.000 0.495 1
Er4 0.500 0.500 0.845 1
Mg1 0.000 0.000 0.735 1
Mg2 0.000 0.500 0.604 1
Mg3 0.500 0.500 0.106 1
Cd1 0.500 0.000 0.237 1
```

Results
E above lowest polymorph: 50 meV per atom
energy relative to the elements: -0.08 eV per atom

***

Entry 2:
A geometry-optimized Ac4NiI2Br structure, computed with GGA-PBE.

Structure (CIF):
```
data_Ac4NiI2Br
_cell_length_a 7.977
_cell_length_b 4.349
_cell_length_c 8.787
_cell_angle_alpha 90.00
_cell_angle_beta 106.98
_cell_angle_gamma 90.00
_symmetry_space_group_name_H-M 'P 1 2/m 1'
_symmetry_Int_Tables_number 10
_symmetry_space_group_name_Hall '-P 2y'
loop_
_atom_site_label
_atom_site_fract_x
_atom_site_fract_y
_atom_site_fract_z
_atom_site_occupancy
Ac1 0.202 0.000 0.192 1
Ac2 0.240 0.500 0.793 1
Ni1 0.000 0.500 0.000 1
I1 0.000 0.000 0.500 1
I2 0.500 0.500 0.500 1
Br1 0.500 0.000 0.000 1
```

Results
raw formation energy: -6.85 eV/f.u.

***

Entry 3:
A geometry-optimized V2Cr4Fe structure, computed with GGA-PBE.

Structure (CIF):
```
data_V2Cr4Fe
_cell_length_a 4.152
_cell_length_b 4.152
_cell_length_c 11.793
_cell_angle_alpha 90.00
_cell_angle_beta 90.00
_cell_angle_gamma 90.00
_symmetry_space_group_name_H-M 'I 4/m m m'
_symmetry_Int_Tables_number 139
_symmetry_space_group_name_Hall '-I 4 2'
loop_
_atom_site_label
_atom_site_fract_x
_atom_site_fract_y
_atom_site_fract_z
_atom_site_occupancy
V1 0.000 0.000 0.126 1
Cr1 0.000 0.000 0.310 1
Cr2 0.000 0.500 0.000 1
Fe1 0.000 0.000 0.500 1
```

Results
energy relative to the elements: 1.06 eV per atom

***

Calculated values (g/cm³) of ρ for the records, taken in order: 6.65; 7.41; 5.97.